No. 1
VASP calculation (PBE) on a relaxed structure of PrScGa2Rh2.

a = 4.380 Å, b = 4.380 Å, c = 7.040 Å
α = 90.00°, β = 90.00°, γ = 120.00°
Sites, in units of the cell vectors:
Pr: 0.000 0.000 0.000
Sc: 0.000 0.000 0.500
Ga: 0.667 0.333 0.728
Ga: 0.333 0.667 0.272
Rh: 0.667 0.333 0.354
Rh: 0.333 0.667 0.646

Computed properties:
DFT formation energy = -493 kJ/mol of formula units


No. 2
VASP calculation (PBE) on a relaxed structure of CeZn5Pd4.

a = 3.114 Å, b = 3.114 Å, c = 16.346 Å
α = 90.00°, β = 90.00°, γ = 90.00°
Sites, in units of the cell vectors:
Ce: 0.000 0.000 0.000
Zn: 0.500 0.500 0.136
Zn: 0.500 0.500 0.316
Zn: 0.500 0.500 0.500
Zn: 0.500 0.500 0.684
Zn: 0.500 0.500 0.864
Pd: 0.000 0.000 0.225
Pd: 0.000 0.000 0.408
Pd: 0.000 0.000 0.592
Pd: 0.000 0.000 0.775

Computed properties:
DFT formation energy = -469 kJ/mol of formula units


No. 3
VASP calculation (PBE) on a relaxed structure of Cs2GeI4.

a = 5.864 Å, b = 6.032 Å, c = 9.930 Å
α = 107.68°, β = 90.00°, γ = 90.00°
Sites, in units of the cell vectors:
Cs: 0.500 0.357 0.714
Cs: 0.500 0.643 0.286
I: 0.000 0.500 0.000
I: 0.500 0.000 0.000
I: 0.000 0.161 0.323
I: 0.000 0.839 0.677
Ge: 0.000 0.000 0.000

Computed properties:
Relative energy among the computed polymorphs = 27 meV per atom
Formation energy without anion corrections = -1006 meV/atom


No. 4
VASP calculation (PBE) on a relaxed structure of Ba2V2Hg.

a = 7.550 Å, b = 7.550 Å, c = 5.274 Å
α = 90.00°, β = 90.00°, γ = 90.00°
Sites, in units of the cell vectors:
Ba: 0.200 0.700 0.500
Ba: 0.700 0.800 0.500
Ba: 0.800 0.300 0.500
Ba: 0.300 0.200 0.500
Hg: 0.000 0.000 0.000
Hg: 0.500 0.500 0.000
V: 0.413 0.913 0.000
V: 0.913 0.587 0.000
V: 0.587 0.087 0.000
V: 0.087 0.413 0.000

Computed properties:
Relative energy among the computed polymorphs = 0 meV per atom
DFT formation energy = 279 kJ/mol of formula units


No. 5
VASP calculation (PBE) on a relaxed structure of Li2Cd3Bi.

a = 5.958 Å, b = 5.957 Å, c = 16.048 Å
α = 48.88°, β = 48.89°, γ = 76.77°
Sites, in units of the cell vectors:
Li: 0.819 0.086 0.765
Li: 0.414 0.680 0.736
Li: 0.181 0.914 0.235
Li: 0.586 0.320 0.264
Cd: 0.017 0.743 0.504
Cd: 0.757 0.483 0.996
Cd: 0.983 0.257 0.496
Cd: 0.243 0.517 0.004
Cd: 0.904 0.596 0.750
Cd: 0.096 0.404 0.250
Bi: 0.326 0.174 0.750
Bi: 0.674 0.826 0.250

Computed properties:
DFT formation energy = -63 kJ/mol of formula units


No. 6
VASP calculation (PBE) on a relaxed structure of MoPd9Au2.

a = 3.971 Å, b = 3.971 Å, c = 11.999 Å
α = 90.00°, β = 90.00°, γ = 90.00°
Sites, in units of the cell vectors:
Mo: 0.000 0.000 0.000
Pd: 0.500 0.500 0.000
Pd: 0.500 0.500 0.328
Pd: 0.500 0.500 0.672
Pd: 0.500 0.000 0.157
Pd: 0.500 0.000 0.500
Pd: 0.500 0.000 0.843
Pd: 0.000 0.500 0.157
Pd: 0.000 0.500 0.500
Pd: 0.000 0.500 0.843
Au: 0.000 0.000 0.332
Au: 0.000 0.000 0.668

Computed properties:
DFT formation energy = -81 kJ/mol of formula units


No. 7
VASP calculation (PBE) on a relaxed structure of CaTlAu2.

a = 3.737 Å, b = 3.736 Å, c = 6.777 Å
α = 90.00°, β = 90.00°, γ = 90.00°
Sites, in units of the cell vectors:
Tl: 0.500 0.500 0.791
Au: 0.000 0.000 0.008
Au: 0.500 0.500 0.240
Ca: 0.000 0.000 0.461

Computed properties:
DFT formation energy = -144 kJ/mol of formula units


No. 8
VASP calculation (PBE) on a relaxed structure of CaPa2Te6.

a = 7.307 Å, b = 7.307 Å, c = 13.357 Å
α = 90.00°, β = 90.00°, γ = 90.00°
Each line ends with the local moment (μB).
Sites, in units of the cell vectors:
Ca: 0.000 0.000 0.000  0.00
Ca: 0.500 0.500 0.500  0.00
Pa: 0.000 0.000 0.332  0.22
Pa: 0.500 0.500 0.832  0.22
Pa: 0.500 0.500 0.168  0.22
Pa: 0.000 0.000 0.668  0.22
Te: 0.292 0.292 0.323  -0.01
Te: 0.708 0.708 0.323  -0.01
Te: 0.208 0.792 0.823  -0.01
Te: 0.792 0.208 0.823  -0.01
Te: 0.208 0.792 0.177  -0.01
Te: 0.792 0.208 0.177  -0.01
Te: 0.292 0.292 0.677  -0.01
Te: 0.708 0.708 0.677  -0.01
Te: 0.308 0.308 0.000  -0.01
Te: 0.692 0.692 0.000  -0.01
Te: 0.192 0.808 0.500  -0.01
Te: 0.808 0.192 0.500  -0.01

Computed properties:
Formation energy without anion corrections = -867 meV/atom


No. 9
VASP calculation (PBE) on a relaxed structure of YTm5Sc2.

a = 7.021 Å, b = 7.021 Å, c = 6.489 Å
α = 105.76°, β = 105.76°, γ = 119.87°
Sites, in units of the cell vectors:
Y: 0.821 0.735 0.000
Tm: 0.236 0.319 0.500
Tm: 0.318 0.737 0.000
Tm: 0.819 0.238 0.000
Tm: 0.736 0.819 0.500
Tm: 0.321 0.235 0.000
Sc: 0.237 0.821 0.502
Sc: 0.735 0.319 0.498

Computed properties:
Relative energy among the computed polymorphs = 0 meV per atom
DFT formation energy = 14 kJ/mol of formula units


No. 10
VASP calculation (PBE) on a relaxed structure of Sb3RuSe.

a = 5.279 Å, b = 5.279 Å, c = 5.279 Å
α = 90.00°, β = 90.00°, γ = 90.00°
Each line ends with the local moment (μB).
Sites, in units of the cell vectors:
Sb: 0.000 0.500 0.000  -0.10
Sb: 0.000 0.000 0.500  -0.09
Sb: 0.500 0.000 0.000  -0.12
Se: 0.000 0.000 0.000  -0.02
Ru: 0.500 0.500 0.500  1.69

Computed properties:
Relative energy among the computed polymorphs = 941 meV per atom
Formation energy without anion corrections = 1308 meV/atom


No. 11
VASP calculation (PBE) on a relaxed structure of Al8Fe2Pt.

a = 4.070 Å, b = 6.635 Å, c = 7.139 Å
α = 117.68°, β = 106.55°, γ = 90.00°
Each line ends with the local moment (μB).
Sites, in units of the cell vectors:
Al: 0.636 0.218 0.909  -0.01
Al: 0.980 0.066 0.596  -0.01
Al: 0.293 0.379 0.222  -0.01
Al: 0.753 0.943 0.144  0.00
Al: 0.354 0.852 0.344  -0.01
Al: 0.919 0.418 0.474  -0.01
Al: 0.137 0.549 0.909  -0.01
Al: 0.520 0.709 0.676  0.00
Fe: 0.793 0.615 0.223  0.70
Fe: 0.478 0.300 0.594  0.71
Pt: 0.136 0.952 0.909  -0.03

Computed properties:
DFT formation energy = -317 kJ/mol of formula units


No. 12
VASP calculation (PBE) on a relaxed structure of Ca3Ac2Pt2.

a = 4.114 Å, b = 6.720 Å, c = 9.103 Å
α = 99.76°, β = 103.06°, γ = 107.82°
Sites, in units of the cell vectors:
Ca: 0.500 0.000 0.000
Ca: 0.199 0.825 0.573
Ca: 0.801 0.175 0.427
Ac: 0.633 0.464 0.801
Ac: 0.367 0.536 0.199
Pt: 0.059 0.886 0.233
Pt: 0.941 0.114 0.767

Computed properties:
DFT formation energy = -456 kJ/mol of formula units


Please write out number 11 again, unchanged.
VASP calculation (PBE) on a relaxed structure of Al8Fe2Pt.

a = 4.070 Å, b = 6.635 Å, c = 7.139 Å
α = 117.68°, β = 106.55°, γ = 90.00°
Each line ends with the local moment (μB).
Sites, in units of the cell vectors:
Al: 0.636 0.218 0.909  -0.01
Al: 0.980 0.066 0.596  -0.01
Al: 0.293 0.379 0.222  -0.01
Al: 0.753 0.943 0.144  0.00
Al: 0.354 0.852 0.344  -0.01
Al: 0.919 0.418 0.474  -0.01
Al: 0.137 0.549 0.909  -0.01
Al: 0.520 0.709 0.676  0.00
Fe: 0.793 0.615 0.223  0.70
Fe: 0.478 0.300 0.594  0.71
Pt: 0.136 0.952 0.909  -0.03

Computed properties:
DFT formation energy = -317 kJ/mol of formula units